Entry 1:
TaZnMo2 | PBE | optimized geometry

total DFT energy (no corrections): -8.5628 eV/atom
energy of formation from the pure elements: 0.134 eV/atom
size of the total moment: 0.0 μB per cell

Cell: 4.183 4.183 7.343 Å, 90.00 90.00 90.00°
Space group I-4m2 (No. 119)
One atom of each set of equivalent atoms:
Ta 0.000 0.000 0.000 [2 per cell]
Zn 0.000 0.500 0.750 [2 per cell]
Mo 0.000 0.000 0.500 [2 per cell]
Mo 0.000 0.500 0.250 [2 per cell]



Entry 2:
TaZnMo2 | PBE | optimized geometry

total DFT energy (no corrections): -8.4990 eV/atom
energy of formation from the pure elements: 0.198 eV/atom
size of the total moment: 0.0 μB per cell

Cell: 2.687 2.687 8.986 Å, 90.00 90.00 90.00°
Space group P4mm (No. 99)
One atom of each set of equivalent atoms:
Ta 0.000 0.000 0.000 [1 per cell]
Zn 0.500 0.500 0.244 [1 per cell]
Mo 0.000 0.000 0.478 [1 per cell]
Mo 0.500 0.500 0.737 [1 per cell]



Entry 3:
TaZnMo2 | PBE | optimized geometry

total DFT energy (no corrections): -8.6569 eV/atom
energy of formation from the pure elements: 0.040 eV/atom
size of the total moment: 0.0 μB per cell

Cell: 3.258 4.430 8.952 Å, 90.00 90.00 90.00°
Space group Cmm2 (No. 35)
One atom of each set of equivalent atoms:
Ta 0.000 0.000 0.000 [2 per cell]
Zn 0.000 0.500 0.255 [2 per cell]
Mo 0.000 0.000 0.500 [2 per cell]
Mo 0.000 0.500 0.745 [2 per cell]



Entry 4:
TaZn3Mo | PBE | optimized geometry

ΔE to the lowest computed polymorph: 0.925 eV per formula unit
total DFT energy (no corrections): -3.6269 eV/atom
energy of formation from the pure elements: 1.674 eV/atom
size of the total moment: 2.5 μB per cell

Cell: 4.917 4.917 4.917 Å, 90.00 90.00 90.00°
Space group Pm-3m (No. 221)
One atom of each set of equivalent atoms:
Ta 0.000 0.000 0.000 [1 per cell]
Zn 0.000 0.000 0.500 [3 per cell]
Mo 0.500 0.500 0.500 [1 per cell]



Entry 5:
TaZnMo2 | PBE | optimized geometry

total DFT energy (no corrections): -8.4052 eV/atom
energy of formation from the pure elements: 0.292 eV/atom
size of the total moment: 0.0 μB per cell

Cell: 2.7925 2.7925 29.2264 Å, 90.00 90.00 120.00°
Space group R3m (No. 160, hexagonal axes)
One atom of each set of equivalent atoms:
Ta 0.0000 0.0000 0.0000 [3 per cell]
Zn 0.0000 0.0000 0.7501 [3 per cell]
Mo 0.0000 0.0000 0.2458 [3 per cell]
Mo 0.0000 0.0000 0.4960 [3 per cell]



Entry 6:
TaZnMo | PBE | optimized geometry

ΔE to the lowest computed polymorph: 0.242 eV per formula unit
total DFT energy (no corrections): -7.8580 eV/atom
energy of formation from the pure elements: 0.128 eV/atom
size of the total moment: 0.0 μB per cell

Cell: 2.682 4.271 8.545 Å, 90.00 90.00 90.00°
Space group Imm2 (No. 44)
One atom of each set of equivalent atoms:
Ta 0.000 0.000 0.000 [2 per cell]
Zn 0.000 0.000 0.668 [2 per cell]
Mo 0.000 0.000 0.329 [2 per cell]



Entry 7:
TaZnMo4 | PBE | optimized geometry

total DFT energy (no corrections): -9.1790 eV/atom
energy of formation from the pure elements: 0.230 eV/atom
size of the total moment: 0.0 μB per cell

Cell: 7.400 7.400 7.400 Å, 90.00 90.00 90.00°
Space group F-43m (No. 216)
One atom of each set of equivalent atoms:
Ta 0.000 0.000 0.000 [4 per cell]
Zn 0.250 0.250 0.750 [4 per cell]
Mo 0.124 0.124 0.376 [16 per cell]



Entry 8:
TaZnMo2 | PBE | optimized geometry

total DFT energy (no corrections): -8.5976 eV/atom
energy of formation from the pure elements: 0.100 eV/atom
size of the total moment: 0.0 μB per cell

Cell: 4.270 4.270 3.498 Å, 90.00 90.00 90.00°
Space group P4/mmm (No. 123)
One atom of each set of equivalent atoms:
Ta 0.000 0.000 0.000 [1 per cell]
Zn 0.500 0.500 0.000 [1 per cell]
Mo 0.000 0.500 0.500 [2 per cell]



Entry 9:
Ta3ZnMo | PBE | optimized geometry

ΔE to the lowest computed polymorph: 0.000 eV per formula unit
total DFT energy (no corrections): -8.0855 eV/atom
energy of formation from the pure elements: 1.447 eV/atom
size of the total moment: 0.0 μB per cell

Cell: 4.824 4.824 4.824 Å, 90.00 90.00 90.00°
Space group Pm-3m (No. 221)
One atom of each set of equivalent atoms:
Ta 0.000 0.000 0.500 [3 per cell]
Zn 0.500 0.500 0.500 [1 per cell]
Mo 0.000 0.000 0.000 [1 per cell]



Entry 10:
TaZnMo3 | PBE | optimized geometry

ΔE to the lowest computed polymorph: 1.457 eV per formula unit
total DFT energy (no corrections): -7.2824 eV/atom
energy of formation from the pure elements: 1.842 eV/atom
size of the total moment: 0.0 μB per cell

Cell: 4.770 4.770 4.770 Å, 90.00 90.00 90.00°
Space group Pm-3m (No. 221)
One atom of each set of equivalent atoms:
Ta 0.000 0.000 0.000 [1 per cell]
Zn 0.500 0.500 0.500 [1 per cell]
Mo 0.000 0.000 0.500 [3 per cell]



Entry 11:
Ta3ZnMo | PBE | optimized geometry

ΔE to the lowest computed polymorph: 0.286 eV per formula unit
total DFT energy (no corrections): -8.0284 eV/atom
energy of formation from the pure elements: 1.504 eV/atom
size of the total moment: 0.0 μB per cell

Cell: 4.640 4.640 4.640 Å, 90.00 90.00 90.00°
Space group Pm-3m (No. 221)
One atom of each set of equivalent atoms:
Ta 0.000 0.000 0.500 [3 per cell]
Zn 0.000 0.000 0.000 [1 per cell]
Mo 0.500 0.500 0.500 [1 per cell]



Entry 12:
TaZnMo2 | PBE | optimized geometry

total DFT energy (no corrections): -8.6677 eV/atom
energy of formation from the pure elements: 0.029 eV/atom
size of the total moment: 0.0 μB per cell

Cell: 3.284 4.368 8.972 Å, 90.00 90.00 90.00°
Space group Cmmm (No. 65)
One atom of each set of equivalent atoms:
Ta 0.000 0.000 0.000 [2 per cell]
Zn 0.000 0.000 0.500 [2 per cell]
Mo 0.000 0.500 0.258 [4 per cell]



Entry 13:
TaZn3Mo | PBE | optimized geometry

ΔE to the lowest computed polymorph: 0.000 eV per formula unit
total DFT energy (no corrections): -3.8119 eV/atom
energy of formation from the pure elements: 1.489 eV/atom
size of the total moment: 0.0 μB per cell

Cell: 4.655 4.655 4.655 Å, 90.00 90.00 90.00°
Space group Pm-3m (No. 221)
One atom of each set of equivalent atoms:
Ta 0.000 0.000 0.000 [1 per cell]
Zn 0.000 0.500 0.500 [3 per cell]
Mo 0.500 0.500 0.500 [1 per cell]



Entry 14:
TaZnMo2 | PBE | optimized geometry

total DFT energy (no corrections): -8.5093 eV/atom
energy of formation from the pure elements: 0.188 eV/atom
size of the total moment: 0.0 μB per cell

Cell: 9.396 2.665 5.211 Å, 90.00 94.73 90.00°
Space group Cm (No. 8)
One atom of each set of equivalent atoms:
Ta 0.000 0.000 0.000 [2 per cell]
Zn 0.244 0.500 0.242 [2 per cell]
Mo 0.244 0.000 0.735 [2 per cell]
Mo 0.486 0.000 0.490 [2 per cell]



Entry 15:
TaZnMo | PBE | optimized geometry

ΔE to the lowest computed polymorph: 0.000 eV per formula unit
total DFT energy (no corrections): -7.9387 eV/atom
energy of formation from the pure elements: 0.047 eV/atom
size of the total moment: 0.0 μB per cell

Cell: 3.355 4.281 13.511 Å, 90.00 90.00 90.00°
Space group Fmm2 (No. 42)
One atom of each set of equivalent atoms:
Ta 0.000 0.000 0.000 [4 per cell]
Zn 0.000 0.000 0.668 [4 per cell]
Mo 0.000 0.000 0.328 [4 per cell]



Entry 16:
Ta4ZnMo | PBE | optimized geometry

total DFT energy (no corrections): -9.4118 eV/atom
energy of formation from the pure elements: 0.507 eV/atom
size of the total moment: 0.0 μB per cell

Cell: 7.629 7.629 7.629 Å, 90.00 90.00 90.00°
Space group F-43m (No. 216)
One atom of each set of equivalent atoms:
Ta 0.124 0.124 0.376 [16 per cell]
Zn 0.000 0.000 0.000 [4 per cell]
Mo 0.250 0.250 0.750 [4 per cell]



Entry 17:
TaZnMo2 | PBE | optimized geometry

total DFT energy (no corrections): -8.6190 eV/atom
energy of formation from the pure elements: 0.078 eV/atom
size of the total moment: 0.0 μB per cell

Cell: 5.538 9.036 2.708 Å, 90.00 108.35 90.00°
Space group C2/m (No. 12)
One atom of each set of equivalent atoms:
Ta 0.000 0.000 0.000 [2 per cell]
Zn 0.000 0.500 0.000 [2 per cell]
Mo 0.250 0.250 0.500 [4 per cell]



Entry 18:
TaZnMo2 | PBE | optimized geometry

total DFT energy (no corrections): -8.5744 eV/atom
energy of formation from the pure elements: 0.123 eV/atom
size of the total moment: 0.0 μB per cell

Cell: 3.298 4.404 8.904 Å, 90.00 90.00 90.00°
Space group Immm (No. 71)
One atom of each set of equivalent atoms:
Ta 0.000 0.000 0.000 [2 per cell]
Zn 0.000 0.000 0.500 [2 per cell]
Mo 0.000 0.500 0.256 [4 per cell]



Entry 19:
TaZnMo | PBE | optimized geometry

ΔE to the lowest computed polymorph: 0.230 eV per formula unit
total DFT energy (no corrections): -7.8619 eV/atom
energy of formation from the pure elements: 0.124 eV/atom
size of the total moment: 0.0 μB per cell

Cell: 2.725 2.725 13.066 Å, 90.00 90.00 90.00°
Space group I4mm (No. 107)
One atom of each set of equivalent atoms:
Ta 0.000 0.000 0.000 [2 per cell]
Zn 0.000 0.000 0.337 [2 per cell]
Mo 0.000 0.000 0.680 [2 per cell]



Entry 20:
TaZnMo | PBE | optimized geometry

ΔE to the lowest computed polymorph: 0.301 eV per formula unit
total DFT energy (no corrections): -7.8383 eV/atom
energy of formation from the pure elements: 0.148 eV/atom
size of the total moment: 0.0 μB per cell

Cell: 5.065 8.603 8.887 Å, 90.00 90.00 90.00°
Space group Fmmm (No. 69)
One atom of each set of equivalent atoms:
Ta 0.000 0.159 0.000 [8 per cell]
Zn 0.250 0.250 0.250 [8 per cell]
Mo 0.000 0.000 0.361 [8 per cell]



Entry 21:
TaZnMo2 | PBE | optimized geometry

total DFT energy (no corrections): -7.9459 eV/atom
energy of formation from the pure elements: 0.751 eV/atom
size of the total moment: 0.0 μB per cell

Cell: 7.176 7.176 5.338 Å, 90.00 90.00 90.00°
Space group I-42d (No. 122)
One atom of each set of equivalent atoms:
Ta 0.000 0.000 0.000 [4 per cell]
Zn 0.000 0.000 0.500 [4 per cell]
Mo 0.236 0.250 0.625 [8 per cell]



Entry 22:
TaZn2Mo2 | PBE | optimized geometry

total DFT energy (no corrections): -7.0665 eV/atom
energy of formation from the pure elements: 0.146 eV/atom
size of the total moment: 0.0 μB per cell

Cell: 6.761 6.761 3.400 Å, 90.00 90.00 90.00°
Space group P4/mbm (No. 127)
One atom of each set of equivalent atoms:
Ta 0.000 0.000 0.000 [2 per cell]
Zn 0.123 0.377 0.000 [4 per cell]
Mo 0.178 0.678 0.500 [4 per cell]



Entry 23:
TaZnMo2 | PBE | optimized geometry

total DFT energy (no corrections): -8.4078 eV/atom
energy of formation from the pure elements: 0.289 eV/atom
size of the total moment: 0.0 μB per cell

Cell: 2.8114 2.8114 28.8563 Å, 90.00 90.00 120.00°
Space group R-3m (No. 166, hexagonal axes)
One atom of each set of equivalent atoms:
Ta 0.0000 0.0000 0.0000 [3 per cell]
Zn 0.0000 0.0000 0.5000 [3 per cell]
Mo 0.0000 0.0000 0.2462 [6 per cell]



Entry 24:
TaZnMo2 | PBE | optimized geometry

total DFT energy (no corrections): -8.6060 eV/atom
energy of formation from the pure elements: 0.091 eV/atom
size of the total moment: 0.0 μB per cell

Cell: 2.709 4.546 5.321 Å, 90.00 99.57 90.00°
Space group P2/m (No. 10)
One atom of each set of equivalent atoms:
Ta 0.000 0.000 0.000 [1 per cell]
Zn 0.500 0.000 0.500 [1 per cell]
Mo 0.261 0.500 0.752 [2 per cell]



Entry 25:
TaZnMo2 | PBE | optimized geometry

total DFT energy (no corrections): -8.5037 eV/atom
energy of formation from the pure elements: 0.193 eV/atom
size of the total moment: 0.0 μB per cell

Cell: 2.640 4.368 5.653 Å, 90.00 90.00 90.00°
Space group Pmmm (No. 47)
One atom of each set of equivalent atoms:
Ta 0.000 0.000 0.000 [1 per cell]
Zn 0.000 0.000 0.500 [1 per cell]
Mo 0.500 0.500 0.261 [2 per cell]



Entry 26:
TaZnMo2 | PBE | optimized geometry

total DFT energy (no corrections): -8.6297 eV/atom
energy of formation from the pure elements: 0.068 eV/atom
size of the total moment: 0.0 μB per cell

Cell: 2.727 4.522 5.328 Å, 90.00 100.22 90.00°
Space group Pm (No. 6)
One atom of each set of equivalent atoms:
Ta 0.000 0.000 0.000 [1 per cell]
Zn 0.693 0.500 0.249 [1 per cell]
Mo 0.273 0.500 0.738 [1 per cell]
Mo 0.503 0.000 0.510 [1 per cell]



Entry 27:
TaZnMo2 | PBE | optimized geometry

total DFT energy (no corrections): -8.6205 eV/atom
energy of formation from the pure elements: 0.077 eV/atom
size of the total moment: 0.0 μB per cell

Cell: 3.556 4.212 4.254 Å, 90.00 90.00 90.00°
Space group Pmmm (No. 47)
One atom of each set of equivalent atoms:
Ta 0.000 0.000 0.000 [1 per cell]
Zn 0.500 0.500 0.000 [1 per cell]
Mo 0.000 0.500 0.500 [1 per cell]
Mo 0.500 0.000 0.500 [1 per cell]



Entry 28:
TaZnMo2 | PBE | optimized geometry

total DFT energy (no corrections): -8.5473 eV/atom
energy of formation from the pure elements: 0.150 eV/atom
size of the total moment: 0.0 μB per cell

Cell: 2.687 2.687 8.982 Å, 90.00 90.00 90.00°
Space group P4/mmm (No. 123)
One atom of each set of equivalent atoms:
Ta 0.000 0.000 0.000 [1 per cell]
Zn 0.000 0.000 0.500 [1 per cell]
Mo 0.500 0.500 0.265 [2 per cell]



Entry 29:
TaZnMo | PBE | optimized geometry

ΔE to the lowest computed polymorph: 0.125 eV per formula unit
total DFT energy (no corrections): -7.8971 eV/atom
energy of formation from the pure elements: 0.089 eV/atom
size of the total moment: 0.0 μB per cell

Cell: 4.5937 4.5937 2.6719 Å, 90.00 90.00 120.00°
Space group P3m1 (No. 156)
One atom of each set of equivalent atoms:
Ta 0.0000 0.0000 0.0000 [1 per cell]
Zn 0.6667 0.3333 0.3752 [1 per cell]
Mo 0.3333 0.6667 0.6793 [1 per cell]



Entry 30:
TaZnMo | PBE | optimized geometry

ΔE to the lowest computed polymorph: 0.063 eV per formula unit
total DFT energy (no corrections): -7.9178 eV/atom
energy of formation from the pure elements: 0.068 eV/atom
size of the total moment: 0.0 μB per cell

Cell: 3.369 3.369 8.571 Å, 90.00 90.00 90.00°
Space group I4mm (No. 107)
One atom of each set of equivalent atoms:
Ta 0.000 0.000 0.000 [2 per cell]
Zn 0.000 0.000 0.673 [2 per cell]
Mo 0.000 0.000 0.339 [2 per cell]